Entry 1:
# Cs5Tl6

Cs5Tl6 after structural relaxation (GGA-PBE, Alexandria via LeMat-Bulk).

Cell and atoms, written as POSCAR:
```
Cs5Tl6
1.0
8.8596 0.1663 1.5446
2.7160 7.6355 4.5708
0.2411 0.1432 9.0874
Tl Cs
6 5
Direct
0.1312 0.1204 0.0000
0.1732 0.7139 0.2314
0.1732 0.9453 0.7686
0.8268 0.2861 0.7686
0.8268 0.0547 0.2314
0.8688 0.8796 0.0000
0.5000 0.1793 0.6414
0.0000 0.6602 0.6796
0.5000 0.8207 0.3586
0.5000 0.5000 0.0000
0.0000 0.3398 0.3204
```

Results
Total energy: -1.77 eV per atom



Entry 2:
# LiRe2Ru

LiRe2Ru after structural relaxation (GGA-PBE, Alexandria via LeMat-Bulk).

Cell and atoms, written as POSCAR:
```
LiRe2Ru
1.0
-4.7950 -0.0291 -1.3993
-1.7485 -4.4120 -1.5580
2.0420 2.4626 3.8362
Re Ru Li
2 1 1
Direct
0.9922 0.9922 0.0000
0.7533 0.2533 0.5000
0.5022 0.5022 0.0000
0.2522 0.7522 0.5000
```

Results
Total energy: -8.75 eV per atom
Energy above the lowest structure with this stoichiometry: 140 meV/atom



Entry 3:
# PmPuMg2O6

PmPuMg2O6 after structural relaxation (GGA-PBE, Alexandria via LeMat-Bulk).

Cell and atoms, written as POSCAR:
```
PmPuMg2O6
1.0
5.5423 0.0002 0.0003
2.7713 4.7997 0.0001
2.7712 1.6001 4.8881
Pu O Mg Pm
1 6 2 1
Direct
0.3164 0.3164 0.0509
0.6169 0.2354 0.2409
0.2354 0.9068 0.2409
0.7217 0.1520 0.7562
0.9068 0.6168 0.2410
0.1521 0.3701 0.7561
0.3700 0.7217 0.7562
0.5265 0.5265 0.4203
0.0153 0.0153 0.9543
0.8005 0.8005 0.5984
```

Results
Total energy: -8.06 eV per atom
Energy relative to the elements, uncorrected: -2856 meV per atom



Entry 4:
# SmEr2Tc

SmEr2Tc after structural relaxation (GGA-PBE, Alexandria via LeMat-Bulk).

Cell and atoms, written as POSCAR:
```
SmEr2Tc
1.0
3.4331 0.0000 0.0000
0.0000 3.4331 0.0000
0.0000 0.0000 8.9855
Tc Sm Er
1 1 2
Direct
0.5000 0.5000 0.0000
0.5000 0.5000 0.5000
0.0000 0.0000 0.1818
0.0000 0.0000 0.8182
```

Results
Total energy: -6.06 eV per atom
Energy above the lowest structure with this stoichiometry: 85 meV/atom



Entry 5:
# RbFeBi3

RbFeBi3 after structural relaxation (GGA-PBE, Alexandria via LeMat-Bulk).

Cell and atoms, written as POSCAR:
```
RbFeBi3
1.0
-3.1333 -4.0664 3.2539
5.0727 -1.5229 2.9815
-1.1794 4.2528 4.1790
Bi Fe Rb
3 1 1
Direct
0.5000 0.0000 0.0000
0.0000 0.5000 0.0000
0.0000 0.0000 0.5000
0.5000 0.5000 0.5000
0.0000 0.0000 0.0000
```

Results
Total energy: -2.36 eV per atom
Energy above the lowest structure with this stoichiometry: 1554 meV/atom



Entry 6:
# Nd3Ag5O12

Nd3Ag5O12 after structural relaxation (GGA-PBE, Alexandria via LeMat-Bulk).

Cell and atoms, written as POSCAR:
```
Nd3Ag5O12
1.0
-10.3414 4.7649 -1.5612
0.9874 -9.2903 -6.6934
1.1809 -3.0693 11.0123
O Ag Nd
48 20 12
Direct
0.0884 0.1642 0.4575
0.9575 0.3691 0.2932
0.1309 0.4241 0.0884
0.4575 0.7932 0.8691
0.7932 0.4575 0.3691
0.7068 0.5759 0.1642
0.9241 0.8358 0.7932
0.1642 0.0759 0.7068
0.0425 0.4116 0.8358
0.8691 0.2932 0.4575
0.0884 0.9241 0.1309
0.9575 0.5884 0.1642
0.4241 0.1309 0.5884
0.3358 0.7932 0.4241
0.9116 0.0759 0.8691
0.7932 0.3358 0.9241
0.1642 0.0884 0.9575
0.4241 0.2932 0.3358
0.6642 0.4575 0.5884
0.2068 0.5425 0.6309
0.3691 0.4116 0.0759
0.0759 0.1642 0.2068
0.5425 0.3358 0.9116
0.5759 0.8691 0.4116
0.9116 0.8358 0.5425
0.6309 0.5884 0.9241
0.5884 0.6309 0.4241
0.6309 0.0425 0.2068
0.5884 0.9575 0.6642
0.2932 0.8691 0.9575
0.9241 0.0884 0.6309
0.4575 0.6642 0.0884
0.8691 0.5759 0.9116
0.0759 0.9116 0.3691
0.3691 0.9575 0.7932
0.8358 0.9116 0.0425
0.5425 0.2068 0.1309
0.7068 0.1309 0.0425
0.2932 0.4241 0.8358
0.4116 0.0425 0.3358
0.8358 0.9241 0.2932
0.4116 0.3691 0.5759
0.2068 0.6642 0.0759
0.3358 0.5425 0.4116
0.5759 0.7068 0.6642
0.6642 0.2068 0.5759
0.0425 0.6309 0.7068
0.1309 0.7068 0.5425
0.0000 0.0000 0.5000
0.0000 0.0000 0.0000
0.7500 0.1250 0.8750
0.2500 0.3750 0.6250
0.7500 0.6250 0.3750
0.6250 0.8750 0.2500
0.8750 0.2500 0.6250
0.1250 0.3750 0.2500
0.3750 0.1250 0.7500
0.8750 0.6250 0.7500
0.5000 0.5000 0.0000
0.0000 0.5000 0.0000
0.5000 0.0000 0.5000
0.1250 0.7500 0.3750
0.5000 0.5000 0.5000
0.6250 0.7500 0.8750
0.5000 0.0000 0.0000
0.3750 0.2500 0.1250
0.0000 0.5000 0.5000
0.2500 0.8750 0.1250
0.1250 0.2500 0.8750
0.8750 0.1250 0.2500
0.6250 0.2500 0.3750
0.3750 0.7500 0.6250
0.7500 0.3750 0.1250
0.3750 0.6250 0.2500
0.2500 0.1250 0.3750
0.1250 0.8750 0.7500
0.6250 0.3750 0.7500
0.7500 0.8750 0.6250
0.2500 0.6250 0.8750
0.8750 0.7500 0.1250
```

Results
Total energy: -5.52 eV per atom
Energy relative to the elements, uncorrected: -1114 meV per atom



Entry 7:
# PmTiPb2

PmTiPb2 after structural relaxation (GGA-PBE, Alexandria via LeMat-Bulk).

Cell and atoms, written as POSCAR:
```
PmTiPb2
1.0
4.5010 0.0000 0.0000
0.0000 4.7795 0.0000
0.0000 0.0000 4.7795
Ti Pm Pb
1 1 2
Direct
0.5000 0.0000 0.0000
0.5000 0.5000 0.5000
0.0000 0.0000 0.5000
0.0000 0.5000 0.0000
```

Results
Total energy: -5.13 eV per atom



Entry 8:
# TaV2FeH

TaV2FeH after structural relaxation (GGA-PBE, Alexandria via LeMat-Bulk).

Cell and atoms, written as POSCAR:
```
TaV2FeH
1.0
-3.3153 1.4963 -0.0273
-0.1901 -0.3551 3.6151
1.8059 4.0101 0.4888
H V Fe Ta
1 2 1 1
Direct
0.0000 0.0000 0.0000
0.0000 0.5000 0.0000
0.5000 0.0000 0.0000
0.5000 0.5000 0.5000
0.0000 0.0000 0.5000
```

Results
Total energy: -8.37 eV per atom
Energy above the lowest structure with this stoichiometry: 36 meV/atom



Entry 9:
# PaIrPtO6

PaIrPtO6 after structural relaxation (GGA-PBE, Alexandria via LeMat-Bulk).

Cell and atoms, written as POSCAR:
```
PaIrPtO6
1.0
-1.6466 -0.6041 -5.0139
5.1898 0.3904 1.0624
0.4910 -9.0587 0.9301
O Pa Ir Pt
12 2 2 2
Direct
0.6814 0.0101 0.3785
0.3287 0.3186 0.3785
0.6713 0.6814 0.6215
0.0101 0.3287 0.6215
0.3186 0.3287 0.8785
0.6814 0.6713 0.1215
0.3287 0.0101 0.1215
0.0101 0.6814 0.8785
0.6713 0.9899 0.8785
0.3186 0.9899 0.6215
0.9899 0.3186 0.1215
0.9899 0.6713 0.3785
0.3333 0.6667 0.2500
0.6667 0.3333 0.7500
0.0000 0.0000 0.5000
0.0000 0.0000 0.0000
0.3333 0.6667 0.7500
0.6667 0.3333 0.2500
```

Results
Total energy: -7.62 eV per atom
Energy relative to the elements, uncorrected: -1604 meV per atom



Entry 10:
# Tb6Pr2Y5

Tb6Pr2Y5 after structural relaxation (GGA-PBE, Alexandria via LeMat-Bulk).

Cell and atoms, written as POSCAR:
```
Tb6Pr2Y5
1.0
-1.8367 0.5906 3.0591
-1.6877 -11.5651 1.2193
17.3362 -1.4040 10.6797
Tb Y Pr
12 10 4
Direct
0.5000 0.6782 0.8737
0.0000 0.0766 0.3634
0.0000 0.4379 0.5755
0.5000 0.1782 0.6263
0.0000 0.5621 0.4245
0.0000 0.5766 0.1366
0.0000 0.0621 0.0755
0.0000 0.4234 0.8634
0.0000 0.9379 0.9245
0.0000 0.9234 0.6366
0.5000 0.8218 0.3737
0.5000 0.3218 0.1263
0.5000 0.5000 0.0000
0.5000 0.0000 0.5000
0.5000 0.9093 0.7803
0.5000 0.4093 0.7197
0.5000 0.5907 0.2803
0.5000 0.3009 0.4449
0.5000 0.0907 0.2197
0.5000 0.6991 0.5551
0.5000 0.1991 0.9449
0.5000 0.8009 0.0551
0.0000 0.3301 0.2821
0.0000 0.8301 0.2179
0.0000 0.1699 0.7821
0.0000 0.6699 0.7179
```

Results
Total energy: -5.26 eV per atom



Entry 11:
# LaNd3Sm2As6

LaNd3Sm2As6 after structural relaxation (GGA-PBE, Alexandria via LeMat-Bulk).

Cell and atoms, written as POSCAR:
```
LaNd3Sm2As6
1.0
-7.0888 1.6577 1.3146
1.9985 -2.7436 -6.5731
0.6227 -6.1098 4.1266
As La Nd Sm
6 1 3 2
Direct
0.9169 0.5796 0.7507
0.2545 0.2545 0.7514
0.4204 0.0831 0.2493
0.5796 0.9169 0.7507
0.7455 0.7455 0.2486
0.0831 0.4204 0.2493
0.0000 0.0000 0.0000
0.5000 0.5000 0.5000
0.1660 0.8340 0.5000
0.8340 0.1660 0.5000
0.6669 0.3331 0.0000
0.3331 0.6669 0.0000
```

Results
Total energy: -6.24 eV per atom



Entry 12:
# Ba2Sr3Pd4

Ba2Sr3Pd4 after structural relaxation (GGA-PBE, Alexandria via LeMat-Bulk).

Cell and atoms, written as POSCAR:
```
Ba2Sr3Pd4
1.0
8.2597 0.0846 0.0000
-2.6322 8.0089 0.0000
0.0000 0.0000 8.4146
Pd Sr Ba
8 6 4
Direct
0.6195 0.9127 0.0303
0.3801 0.4968 0.3799
0.6199 0.5032 0.6201
0.3805 0.0873 0.9697
0.8805 0.0873 0.5303
0.1199 0.5032 0.8799
0.8801 0.4968 0.1201
0.1195 0.9127 0.4697
0.2523 0.2414 0.6718
0.7523 0.2414 0.8282
0.2477 0.7586 0.1718
0.5000 0.5000 0.0000
0.7477 0.7586 0.3282
0.0000 0.5000 0.5000
0.9193 0.8026 0.8214
0.5807 0.1974 0.3214
0.0807 0.1974 0.1786
0.4193 0.8026 0.6786
```

Results
Total energy: -3.85 eV per atom



Entry 13:
# CaTe2Br

CaTe2Br after structural relaxation (GGA-PBE, Alexandria via LeMat-Bulk).

Cell and atoms, written as POSCAR:
```
CaTe2Br
1.0
5.7462 0.0000 0.0000
0.0000 6.0858 0.0187
0.0000 2.4920 4.4446
Te Br Ca
2 1 1
Direct
0.0000 0.6147 0.5713
0.0000 0.8853 0.9287
0.5000 0.2500 0.2500
0.5000 0.7500 0.7500
```

Results
Total energy: -3.46 eV per atom
Energy above the lowest structure with this stoichiometry: 75 meV/atom
Energy relative to the elements, uncorrected: -973 meV per atom



Entry 14:
# CaBr3O

CaBr3O after structural relaxation (GGA-PBE, Alexandria via LeMat-Bulk).

Cell and atoms, written as POSCAR:
```
CaBr3O
1.0
-5.5644 0.5706 -1.0828
-1.2205 -2.9624 4.7112
-0.0912 4.8331 3.0155
Br Ca O
3 1 1
Direct
0.0000 0.0000 0.5000
0.5000 0.0000 0.0000
0.0000 0.5000 0.0000
0.0000 0.0000 0.0000
0.5000 0.5000 0.5000
```

Results
Total energy: -2.76 eV per atom
Energy above the lowest structure with this stoichiometry: 174 meV/atom
Energy relative to the elements, uncorrected: -365 meV per atom



Entry 15:
# Mn3Br

Mn3Br after structural relaxation (GGA-PBE, Alexandria via LeMat-Bulk).

Cell and atoms, written as POSCAR:
```
Mn3Br
1.0
4.9056 -0.0071 0.0000
-1.8485 4.5440 0.0000
0.0000 0.0000 3.0610
Mn Br
3 1
Direct
0.0000 0.5000 0.5000
0.5000 0.0000 0.5000
0.5000 0.5000 0.0000
0.0000 0.0000 0.0000
```

Results
Total energy: -6.60 eV per atom
Energy above the lowest structure with this stoichiometry: 362 meV/atom
Energy relative to the elements, uncorrected: 697 meV per atom



Entry 16:
# Li3AcP2

Li3AcP2 after structural relaxation (GGA-PBE, Alexandria via LeMat-Bulk).

Cell and atoms, written as POSCAR:
```
Li3AcP2
1.0
-3.2216 -2.4085 -0.4224
3.2984 -7.5921 -1.2306
0.0850 -4.7185 6.8934
Li P Ac
6 4 2
Direct
0.6412 0.5062 0.2114
0.3600 0.7853 0.4947
0.6400 0.2147 0.5053
0.0004 0.6475 0.3516
0.3588 0.4938 0.7886
0.9996 0.3525 0.6484
0.1897 0.3108 0.3099
0.4998 0.1880 0.8123
0.8103 0.6892 0.6901
0.5002 0.8120 0.1877
0.8690 0.1304 0.1315
0.1310 0.8696 0.8685
```

Results
Total energy: -4.27 eV per atom
Energy above the lowest structure with this stoichiometry: 66 meV/atom



Entry 17:
# ZnCu2Te

ZnCu2Te after structural relaxation (GGA-PBE, Alexandria via LeMat-Bulk).

Cell and atoms, written as POSCAR:
```
ZnCu2Te
1.0
-7.0310 4.0716 -0.9719
-6.4967 2.9934 -3.9736
-7.9119 1.0701 -1.7926
Cu Zn Te
2 1 1
Direct
0.9971 0.9971 0.9971
0.2592 0.2592 0.2592
0.7348 0.7348 0.7348
0.5090 0.5090 0.5090
```

Results
Total energy: -2.82 eV per atom
Energy above the lowest structure with this stoichiometry: 246 meV/atom
Energy relative to the elements, uncorrected: 331 meV per atom



Entry 18:
# Tb5CePm6

Tb5CePm6 after structural relaxation (GGA-PBE, Alexandria via LeMat-Bulk).

Cell and atoms, written as POSCAR:
```
Tb5CePm6
1.0
4.8982 0.0158 -1.4266
-1.3951 8.9521 -4.6575
0.1158 -0.8292 9.4934
Tb Pm Ce
5 6 1
Direct
0.0000 0.5000 0.0000
0.6657 0.1656 0.3311
0.6674 0.6676 0.3351
0.3343 0.8344 0.6689
0.3326 0.3325 0.6649
0.8347 0.0842 0.6696
0.5001 0.7517 0.0000
0.8347 0.5853 0.6695
0.4999 0.2483 0.0000
0.1653 0.4147 0.3305
0.1653 0.9158 0.3304
0.0000 0.0000 0.0000
```

Results
Total energy: -4.76 eV per atom



Entry 19:
# CsRb

CsRb after structural relaxation (GGA-PBE, Alexandria via LeMat-Bulk).

Cell and atoms, written as POSCAR:
```
CsRb
1.0
-0.4709 5.0390 1.3530
-4.7228 0.1657 -2.2608
-6.2617 -4.0182 12.7858
Cs Rb
2 2
Direct
0.0000 0.5000 0.3622
0.5000 0.0000 0.6378
0.0000 0.5000 0.8876
0.5000 0.0000 0.1124
```

Results
Total energy: -0.91 eV per atom
Energy above the lowest structure with this stoichiometry: 5 meV/atom



Entry 20:
# Mg2AlZn

Mg2AlZn after structural relaxation (GGA-PBE, Alexandria via LeMat-Bulk).

Cell and atoms, written as POSCAR:
```
Mg2AlZn
1.0
5.6817 -0.0108 0.0068
2.7300 4.9829 -0.0068
-3.6733 -3.3870 2.7050
Al Mg Zn
1 2 1
Direct
0.2710 0.7710 0.5000
0.7321 0.2321 0.5000
0.0075 0.0075 0.0000
0.4894 0.4894 0.0000
```

Results
Total energy: -2.04 eV per atom